(1)
VASP calculation (PBE-GGA) on a geometry-optimized K3Rb6Hg2 structure.

Structure (extended XYZ):
```
11
Lattice="-3.913 -1.907 4.585 3.548 -5.159 0.883 10.844 13.102 10.344" Properties=species:S:1:pos:R:3 pbc="T T T"
K 0.000 0.000 0.000
K 6.598 2.553 11.052
Hg 9.848 8.839 12.081
Hg 0.630 -2.803 3.732
Rb 3.714 -0.838 2.821
Rb -0.017 0.788 4.673
Rb 4.132 0.340 8.028
Rb 10.495 5.249 11.140
K 3.881 3.483 4.761
Rb 6.765 6.874 12.991
Rb 6.346 5.696 7.785
```

Summary:
- Symmetry: No. 139
- Electronic total energy: -0.91 eV per atom
- ΔH_f (0 K): -0.029 eV per atom

=====

(2)
VASP calculation (PBE-GGA) on a geometry-optimized Mg3H5Ir2 structure.

Structure (extended XYZ):
```
10
Lattice="-3.632 4.587 -4.898 1.609 -1.100 -4.403 -2.208 -2.060 -0.293" Properties=species:S:1:pos:R:3 pbc="T T T"
Mg -3.338 2.576 -7.965
H -1.254 -2.385 -4.454
H -3.213 2.181 -6.070
H -2.668 -0.758 -5.223
H -4.775 1.355 -4.187
Ir -4.976 1.797 -5.803
Mg -2.568 1.255 -4.430
Mg -1.797 -0.007 -1.373
Ir -2.334 -1.335 -3.690
H -3.417 -0.289 -2.864
```

Summary:
- Symmetry: No. 6
- Electronic total energy: -4.23 eV per atom
- ΔE to the lowest computed polymorph: 0.087 eV/atom

=====

(3)
VASP calculation (PBE-GGA) on a geometry-optimized LaPmAg6 structure.

Structure (extended XYZ):
```
8
Lattice="4.911 0.000 0.000 0.000 6.474 -0.070 0.000 -2.929 5.774" Properties=species:S:1:pos:R:3 pbc="T T T"
Ag 2.455 4.153 3.103
La 2.455 0.899 3.394
Ag 0.000 1.160 5.495
Pm 0.000 -2.063 5.236
Ag 0.000 2.676 2.290
Ag 2.455 5.618 0.462
Ag 0.000 -0.868 2.231
Ag 2.455 2.601 0.606
```

Summary:
- Symmetry: No. 38
- Electronic total energy: -3.53 eV per atom
- ΔH_f (0 K): -0.184 eV per atom